A plane-wave DFT calculation with PBEsol was carried out for a relaxed structure of CoW2Br.

abc: 2.938 2.938 6.681
angles: 90.00 90.00 90.00
Space group P4/mmm (No. 123)
Asymmetric unit:
Co: 0.000 0.000 0.000 (multiplicity 1)
W: 0.500 0.500 0.227 (multiplicity 2)
Br: 0.000 0.000 0.500 (multiplicity 1)

Output
total magnetization	0.933	μB per cell
energy	-0.3148	hartree per atom
formation energy without anion corrections	0.738	eV per atom
DOS(E_F)	3.741	states/eV/f.u.
polymorph energy (0 for the lowest one)	217	meV/atom